1.
Entry from Alexandria via LeMat-Bulk: a relaxed structure of ZrCrPb (GGA-PBE).

Cell lengths 4.815, 4.815, 4.815 Å; angles 60.00, 60.00, 60.00 degrees
Each line ends with the local moment (μB).
Fractional positions:
1 Zr 0.750 0.750 0.750  0.19
2 Cr 0.000 0.000 0.000  3.75
3 Pb 0.500 0.500 0.500  -0.06

Properties
- energy relative to the elements (eV per atom) = 0.7549
- magnetic moment (μB/cell) = 4.516
- energy above the most stable polymorph in this dataset (meV per atom) = 497

=====

2.
Entry from Alexandria via LeMat-Bulk: a relaxed structure of Ca2MgIO6 (GGA-PBE).

Cell lengths 5.543, 5.715, 7.923 Å; angles 90.00, 89.74, 90.00 degrees
Each line ends with the local moment (μB).
Fractional positions:
1 Ca 0.515 0.554 0.752  0.00
2 Ca 0.985 0.054 0.748  0.00
3 Ca 0.485 0.446 0.248  0.00
4 Ca 0.015 0.946 0.252  0.00
5 O 0.900 0.537 0.243  0.06
6 O 0.209 0.198 0.450  0.05
7 O 0.807 0.789 0.945  0.05
8 O 0.400 0.963 0.743  0.06
9 O 0.709 0.302 0.950  0.05
10 O 0.291 0.698 0.050  0.05
11 O 0.600 0.037 0.257  0.06
12 O 0.307 0.711 0.445  0.05
13 O 0.193 0.211 0.055  0.05
14 O 0.100 0.463 0.757  0.06
15 O 0.791 0.802 0.550  0.05
16 O 0.693 0.289 0.555  0.05
17 I 0.500 0.000 0.500  0.06
18 I 0.000 0.500 0.000  0.06
19 Mg 0.500 0.000 0.000  0.00
20 Mg 0.000 0.500 0.500  0.00

Properties
- magnetic moment (μB/cell) = 0.912
- formation energy (no corrections) (eV per atom) = -1.924

=====

3.
Entry from Alexandria via LeMat-Bulk: a relaxed structure of La10SmTm4 (GGA-PBE).

Cell lengths 7.899, 9.096, 9.096 Å; angles 79.13, 64.26, 64.26 degrees
Fractional positions:
1 La 0.507 0.781 0.781
2 La 0.712 0.219 0.781
3 La 0.070 0.219 0.219
4 La 0.288 0.781 0.219
5 La 0.493 0.219 0.219
6 La 0.288 0.219 0.781
7 La 0.250 0.500 0.500
8 La 0.712 0.781 0.219
9 La 0.750 0.500 0.500
10 La 0.930 0.781 0.781
11 Tm 0.231 0.538 0.000
12 Tm 0.769 0.462 0.000
13 Tm 0.769 0.000 0.462
14 Tm 0.231 0.000 0.538
15 Sm 0.000 0.000 0.000

Properties
- energy relative to the elements (eV per atom) = 0.2009
- magnetic moment (μB/cell) = 0.000